Entry 1:
Compound: Er2Cd6In5
Source: Alexandria via LeMat-Bulk
Functional: PBE-GGA
Structure: optimized geometry

a = 8.8839 Å, b = 8.8839 Å, c = 21.3736 Å
α = 90.00°, β = 90.00°, γ = 120.00°
Space group R-3m (No. 166, hexagonal axes)
Asymmetric unit:
Er (0.0000, 0.0000, 0.1404) x6
Cd (0.0000, 0.3245, 0.5000) x18
In (0.0000, 0.0000, 0.0000) x3
In (0.0000, 0.0000, 0.2810) x6
In (0.0000, 0.0000, 0.4238) x6

## Properties
Energy, eV/atom: -1.91
Calculated density, kg/m³: 5398
Magnetization, μB/f.u.: 0.00
ΔH_f (0 K), eV/f.u.: 3.526

Entry 2:
Compound: Er3Cd2In3
Source: Alexandria via LeMat-Bulk
Functional: PBE-GGA
Structure: optimized geometry

a = 4.7164 Å, b = 11.3336 Å, c = 15.3619 Å
α = 90.00°, β = 90.00°, γ = 90.00°
Space group Cmcm (No. 63)
Asymmetric unit:
Er (0.0000, 0.0759, 0.1134) x8
Er (0.0000, 0.3378, 0.2500) x4
Cd (0.0000, 0.2177, 0.6055) x8
In (0.0000, 0.3817, 0.7500) x4
In (0.0000, 0.3901, 0.0451) x8

## Properties
Energy, eV/atom: -3.31
Calculated density, kg/m³: 8664
Magnetization, μB/f.u.: 0.00
ΔH_f (0 K), eV/f.u.: -2.733
Energy relative to the lowest polymorph listed for this composition, eV per formula unit: 0.000

Entry 3:
Compound: ErCd4In
Source: Alexandria via LeMat-Bulk
Functional: PBE-GGA
Structure: optimized geometry

a = 8.3784 Å, b = 8.3784 Å, c = 8.3784 Å
α = 90.00°, β = 90.00°, γ = 90.00°
Space group F-43m (No. 216)
Asymmetric unit:
Er (0.0000, 0.0000, 0.0000) x4
Cd (0.1254, 0.1254, 0.6254) x16
In (0.2500, 0.2500, 0.2500) x4

## Properties
Energy, eV/atom: -1.90
Calculated density, kg/m³: 8264
Magnetization, μB/f.u.: 0.00
ΔH_f (0 K), eV/f.u.: -0.410
Energy relative to the lowest polymorph listed for this composition, eV per formula unit: 0.732

Entry 4:
Compound: Er2CdIn3
Source: Alexandria via LeMat-Bulk
Functional: PBE-GGA
Structure: optimized geometry

a = 6.9797 Å, b = 9.9087 Å, c = 17.1787 Å
α = 90.00°, β = 90.00°, γ = 90.00°
Space group Fmmm (No. 69)
Asymmetric unit:
Er (0.2502, 0.0000, 0.0000) x8
Er (0.2500, 0.2500, 0.2500) x8
Cd (0.0000, 0.0000, 0.1668) x8
In (0.0000, 0.0000, 0.3316) x8
In (0.0000, 0.2481, 0.0841) x16

## Properties
Energy, eV/atom: -3.41
Calculated density, kg/m³: 8849
Magnetization, μB/f.u.: 0.00
ΔH_f (0 K), eV/f.u.: -2.222

Entry 5:
Compound: Er8Cd2In
Source: Alexandria via LeMat-Bulk
Functional: PBE-GGA
Structure: optimized geometry

a = 16.1597 Å, b = 5.2470 Å, c = 8.4264 Å
α = 90.00°, β = 120.46°, γ = 90.00°
Space group C2/m (No. 12)
Asymmetric unit:
Er (0.0660, 0.0000, 0.2208) x4
Er (0.0937, 0.5000, 0.9555) x4
Er (0.1392, 0.0000, 0.6862) x4
Er (0.1823, 0.5000, 0.4500) x4
Cd (0.2244, 0.0000, 0.1156) x4
In (0.0000, 0.5000, 0.5000) x2

## Properties
Energy, eV/atom: -3.93
Calculated density, kg/m³: 9048
Magnetization, μB/f.u.: 0.00
ΔH_f (0 K), eV/f.u.: -2.139
Energy relative to the lowest polymorph listed for this composition, eV per formula unit: 0.000

Entry 6:
Compound: ErCdIn
Source: Alexandria via LeMat-Bulk
Functional: PBE-GGA
Structure: optimized geometry

a = 3.5454 Å, b = 3.5454 Å, c = 11.9769 Å
α = 90.00°, β = 90.00°, γ = 90.00°
Space group I4mm (No. 107)
Asymmetric unit:
Er (0.0000, 0.0000, 0.0000) x2
Cd (0.0000, 0.0000, 0.3307) x2
In (0.0000, 0.0000, 0.6749) x2

## Properties
Energy, eV/atom: -2.98
Calculated density, kg/m³: 8702
Magnetization, μB/f.u.: 0.25
ΔH_f (0 K), eV/f.u.: -0.712

Entry 7:
Compound: Er6CdIn5
Source: Alexandria via LeMat-Bulk
Functional: PBE-GGA
Structure: optimized geometry

a = 6.3117 Å, b = 10.9822 Å, c = 9.8772 Å
α = 90.00°, β = 102.50°, γ = 90.00°
Space group C2/m (No. 12)
Asymmetric unit:
Er (0.2488, 0.0000, 0.2491) x4
Er (0.2491, 0.1667, 0.7488) x8
Cd (0.0000, 0.0000, 0.5000) x2
In (0.0000, 0.1685, 0.0000) x4
In (0.0000, 0.3350, 0.5000) x4
In (0.0000, 0.5000, 0.0000) x2

## Properties
Energy, eV/atom: -3.79
Calculated density, kg/m³: 8397
Magnetization, μB/f.u.: 0.00
ΔH_f (0 K), eV/f.u.: -3.508
Energy relative to the lowest polymorph listed for this composition, eV per formula unit: 1.645

Entry 8:
Compound: Er3CdIn3
Source: Alexandria via LeMat-Bulk
Functional: PBE-GGA
Structure: optimized geometry

a = 11.3112 Å, b = 4.7029 Å, c = 14.7007 Å
α = 90.00°, β = 108.07°, γ = 90.00°
Space group C2/m (No. 12)
Asymmetric unit:
Er (0.0342, 0.0000, 0.3804) x4
Er (0.0993, 0.0000, 0.9210) x4
Er (0.2278, 0.0000, 0.2166) x4
Cd (0.2380, 0.5000, 0.3845) x4
In (0.0108, 0.5000, 0.2296) x4
In (0.1214, 0.5000, 0.0722) x4
In (0.1295, 0.5000, 0.5522) x4

## Properties
Energy, eV/atom: -3.63
Calculated density, kg/m³: 8565
Magnetization, μB/f.u.: 0.00
ΔH_f (0 K), eV/f.u.: -2.593

Entry 9:
Compound: Er4Cd2In
Source: Alexandria via LeMat-Bulk
Functional: PBE-GGA
Structure: optimized geometry

a = 5.1895 Å, b = 5.1895 Å, c = 25.0930 Å
α = 90.00°, β = 90.00°, γ = 120.00°
Space group R-3m (No. 166, hexagonal axes)
Asymmetric unit:
Er (0.0000, 0.0000, 0.1166) x6
Er (0.0000, 0.0000, 0.3705) x6
Cd (0.0000, 0.0000, 0.2470) x6
In (0.0000, 0.0000, 0.5000) x3

## Properties
Energy, eV/atom: -3.44
Calculated density, kg/m³: 8586
Magnetization, μB/f.u.: 0.00
ΔH_f (0 K), eV/f.u.: -1.230
Energy relative to the lowest polymorph listed for this composition, eV per formula unit: 0.000

Entry 10:
Compound: ErCd6In
Source: Alexandria via LeMat-Bulk
Functional: PBE-GGA
Structure: optimized geometry

a = 4.7908 Å, b = 7.7206 Å, c = 10.1433 Å
α = 90.00°, β = 90.00°, γ = 90.00°
Space group Amm2 (No. 38)
Asymmetric unit:
Er (0.0000, 0.0000, 0.0000) x2
Cd (0.0000, 0.0000, 0.4222) x2
Cd (0.0000, 0.1991, 0.7102) x4
Cd (0.5000, 0.0000, 0.8006) x2
Cd (0.5000, 0.2096, 0.5076) x4
In (0.5000, 0.0000, 0.2241) x2

## Properties
Energy, eV/atom: -1.73
Calculated density, kg/m³: 8467
Magnetization, μB/f.u.: 0.00
ΔH_f (0 K), eV/f.u.: -1.008

Entry 11:
Compound: Er2Cd8In
Source: Alexandria via LeMat-Bulk
Functional: PBE-GGA
Structure: optimized geometry

a = 4.6331 Å, b = 4.6331 Å, c = 12.4627 Å
α = 90.00°, β = 90.00°, γ = 90.00°
Space group P4/mmm (No. 123)
Asymmetric unit:
Er (0.0000, 0.0000, 0.1840) x2
Cd (0.0000, 0.5000, 0.0000) x2
Cd (0.0000, 0.5000, 0.3570) x4
Cd (0.5000, 0.5000, 0.1859) x2
In (0.0000, 0.0000, 0.5000) x1

## Properties
Energy, eV/atom: -1.91
Calculated density, kg/m³: 8371
Magnetization, μB/f.u.: 0.00
ΔH_f (0 K), eV/f.u.: -1.829

Entry 12:
Compound: ErCd3In
Source: Alexandria via LeMat-Bulk
Functional: PBE-GGA
Structure: optimized geometry

a = 4.8611 Å, b = 31.6137 Å, c = 3.3109 Å
α = 90.00°, β = 90.00°, γ = 90.00°
Space group Cmmm (No. 65)
Asymmetric unit:
Er (0.0000, 0.1779, 0.0000) x4
Cd (0.0000, 0.0791, 0.5000) x4
Cd (0.0000, 0.2716, 0.5000) x4
Cd (0.0000, 0.4544, 0.0000) x4
In (0.0000, 0.3647, 0.5000) x4

## Properties
Energy, eV/atom: -2.15
Calculated density, kg/m³: 8085
Magnetization, μB/f.u.: 0.00
ΔH_f (0 K), eV/f.u.: -0.691
Energy relative to the lowest polymorph listed for this composition, eV per formula unit: 0.020